[1]
An optimized crystal structure of ZrIr2Se, computed with PBE.

## Properties
Formation energy without anion corrections (meV per atom): -468
Total magnetic moment (μB per atom): 0.00
Space group: No. 9
Uncorrected energy (Ry/atom): -0.5812

abc: 5.853 9.693 4.901
angles: 90.00 101.87 90.00
Atoms (fractional coordinates):
Zr  0.000  0.193  0.000
Zr  0.000  0.807  0.500
Zr  0.500  0.307  0.500
Zr  0.500  0.693  0.000
Ir  0.285  0.423  0.961
Ir  0.285  0.577  0.461
Ir  0.489  0.141  0.989
Ir  0.489  0.859  0.489
Ir  0.785  0.077  0.461
Ir  0.785  0.923  0.961
Ir  0.989  0.359  0.489
Ir  0.989  0.641  0.989
Se  0.218  0.092  0.540
Se  0.218  0.908  0.040
Se  0.718  0.408  0.040
Se  0.718  0.592  0.540

[2]
An optimized crystal structure of PuMnTl2Cl8, computed with PBE.

## Properties
Formation energy without anion corrections (meV per atom): -1299
Total magnetic moment (μB per atom): 0.75
Space group: No. 10
Uncorrected energy (Ry/atom): -0.3589

abc: 6.634 8.175 7.089
angles: 90.00 92.34 90.00
Atoms (fractional coordinates):
Pu  0.000  0.000  0.000
Mn  0.000  0.500  0.000
Tl  0.500  0.268  0.500
Tl  0.500  0.732  0.500
Cl  0.190  0.500  0.280
Cl  0.216  0.251  0.875
Cl  0.216  0.749  0.875
Cl  0.218  0.000  0.316
Cl  0.782  0.000  0.684
Cl  0.784  0.251  0.125
Cl  0.784  0.749  0.125
Cl  0.810  0.500  0.720

- The lowest uncorrected energy belongs to which entry?
  ZrIr2Se

- Which formula does entry 2 have?
  PuMnTl2Cl8

- formation energy without anion corrections of number 2 (PuMnTl2Cl8)?
  -1299 meV per atom